LaTmGa2Pt5 | PBE-GGA | optimized geometry

Computed properties:
Its calculated volume is 169 Å³/cell. Its formation energy is -762 kJ/mol of formula units.

```
data_LaTmGa2Pt5
_cell_length_a 4.249
_cell_length_b 4.249
_cell_length_c 9.346
_cell_angle_alpha 90.00
_cell_angle_beta 90.00
_cell_angle_gamma 90.00
_symmetry_space_group_name_H-M 'P 1'
_symmetry_Int_Tables_number 1
_symmetry_space_group_name_Hall 'P 1'
loop_
_atom_site_label
_atom_site_fract_x
_atom_site_fract_y
_atom_site_fract_z
_atom_site_occupancy
La1 0.000 0.000 0.000 1
Tm1 0.000 0.000 0.500 1
Ga1 0.500 0.500 0.371 1
Ga2 0.500 0.500 0.629 1
Pt1 0.000 0.500 0.234 1
Pt2 0.000 0.500 0.766 1
Pt3 0.500 0.000 0.234 1
Pt4 0.500 0.000 0.766 1
Pt5 0.500 0.500 0.000 1
```